1.
## MnFe2Cl (meta-GGA SCAN)

Data for a PBEsol-optimized structure of MnFe2Cl.

Calculated values
Magnetic moment (μB/f.u.): 10.01
E_form (uncorrected) (eV per formula unit): 1.57

Cell lengths 3.448, 3.448, 4.384 Å; angles 90.00, 90.00, 90.00 degrees
Element x y z (fractional)
Mn 0.000 0.000 0.000
Fe 0.000 0.500 0.500
Fe 0.500 0.000 0.500
Cl 0.500 0.500 0.000

***

2.
## MnFeCl (meta-GGA SCAN)

Data for a PBEsol-optimized structure of MnFeCl.

Calculated values
Magnetic moment (μB/f.u.): 6.67
E_form (uncorrected) (eV per formula unit): 1.74

Cell lengths 3.965, 3.965, 3.965 Å; angles 60.00, 60.00, 60.00 degrees
Element x y z (fractional)
Mn 0.000 0.000 0.000
Fe 0.500 0.500 0.500
Cl 0.250 0.250 0.250

***

3.
## MnFeCl (meta-GGA SCAN)

Data for a PBEsol-optimized structure of MnFeCl.

Calculated values
Magnetic moment (μB/f.u.): 7.17
E_form (uncorrected) (eV per formula unit): -0.08

Cell lengths 6.250, 5.941, 2.917 Å; angles 82.13, 70.34, 27.54 degrees
Element x y z (fractional)
Mn 0.000 0.000 0.000
Fe 0.667 0.667 0.333
Cl 0.332 0.332 0.668

***

4.
## Mn2FeCl (meta-GGA SCAN)

Data for a PBEsol-optimized structure of Mn2FeCl.

Calculated values
Magnetic moment (μB/f.u.): 9.33
E_form (uncorrected) (eV per formula unit): 2.46

Cell lengths 4.091, 4.091, 2.675 Å; angles 90.00, 90.00, 90.00 degrees
Element x y z (fractional)
Mn 0.000 0.500 0.000
Mn 0.500 0.000 0.000
Fe 0.000 0.000 0.500
Cl 0.500 0.500 0.500

***

5.
## Mn2FeCl (meta-GGA SCAN)

Data for a PBEsol-optimized structure of Mn2FeCl.

Calculated values
Magnetic moment (μB/f.u.): 4.07
E_form (uncorrected) (eV per formula unit): 0.99

Cell lengths 2.700, 2.700, 6.546 Å; angles 90.00, 90.00, 90.00 degrees
Element x y z (fractional)
Mn 0.000 0.000 0.000
Mn 0.500 0.500 0.247
Fe 0.500 0.500 0.764
Cl 0.000 0.000 0.502

***

6.
## Mn2FeCl (meta-GGA SCAN)

Data for a PBEsol-optimized structure of Mn2FeCl.

Calculated values
Magnetic moment (μB/f.u.): 6.82
E_form (uncorrected) (eV per formula unit): 1.12

Cell lengths 2.670, 2.670, 6.523 Å; angles 90.00, 90.00, 90.00 degrees
Element x y z (fractional)
Mn 0.000 0.000 0.243
Mn 0.000 0.000 0.757
Fe 0.500 0.500 0.000
Cl 0.500 0.500 0.500

***

7.
## FeMoClO4 (meta-GGA SCAN)

Data for a PBEsol-optimized structure of FeMoClO4.

Calculated values
Magnetic moment (μB/f.u.): 5.00
E_form (uncorrected) (eV per formula unit): -12.56

Cell lengths 6.650, 6.650, 5.397 Å; angles 90.00, 90.00, 90.00 degrees
Element x y z (fractional)
Fe 0.250 0.250 0.225
Fe 0.750 0.750 0.775
Mo 0.250 0.750 0.500
Mo 0.750 0.250 0.500
Cl 0.250 0.250 0.821
Cl 0.750 0.750 0.179
O 0.035 0.750 0.691
O 0.250 0.535 0.309
O 0.250 0.965 0.309
O 0.465 0.750 0.691
O 0.535 0.250 0.309
O 0.750 0.035 0.691
O 0.750 0.465 0.691
O 0.965 0.250 0.309

***

8.
## Ti2FeMoCl (meta-GGA SCAN)

Data for a PBEsol-optimized structure of Ti2FeMoCl.

Calculated values
Magnetic moment (μB/f.u.): 1.15
E_form (uncorrected) (eV per formula unit): 3.48

Cell lengths 4.559, 4.559, 4.336 Å; angles 90.00, 90.00, 90.00 degrees
Element x y z (fractional)
Ti 0.000 0.500 0.000
Ti 0.500 0.000 0.000
Fe 0.000 0.000 0.000
Mo 0.000 0.000 0.500
Cl 0.500 0.500 0.500